The following is a DFT calculation (PBE) of an optimized crystal structure of YCuGePd.

Computed properties:
- distance to the lowest polymorph of the same formula (meV per atom) = 14

Unit cell a=6.5436 b=6.5436 c=6.5436 alpha=90.00 beta=90.00 gamma=90.00
Closest atoms and distances in Å follow each position.
Space group F-43m (No. 216)
One atom of each set of equivalent atoms:
Y (0.0000, 0.0000, 0.0000) x4  4 Ge 2.83, 4 Cu 2.83
Cu (0.2500, 0.2500, 0.2500) x4  4 Pd 2.83, 4 Y 2.83
Ge (0.2500, 0.2500, 0.7500) x4  4 Pd 2.83, 4 Y 2.83
Pd (0.0000, 0.0000, 0.5000) x4  4 Ge 2.83, 4 Cu 2.83